1.
## ScSbAs2 (SCAN)

Data for a PBEsol-optimized structure of ScSbAs2.

POSCAR file:
```
ScSbAs2
1.0
4.835 -1.714 0.000
4.835 1.714 0.000
-0.357 0.000 5.201
Sc Sb As
1 1 2
Direct
0.000 0.000 0.000 Sc
0.500 0.500 0.500 Sb
0.273 0.273 0.825 As
0.727 0.727 0.175 As
```

Density of states at the Fermi level ... 0.623 states/eV/atom
Raw formation energy ... -0.352 eV/atom

2.
## ScSbAs3 (SCAN)

Data for a PBEsol-optimized structure of ScSbAs3.

POSCAR file:
```
ScSbAs3
1.0
5.011 0.000 0.000
0.000 5.011 0.000
0.000 0.000 5.011
Sc Sb As
1 1 3
Direct
0.000 0.000 0.000 Sc
0.500 0.500 0.500 Sb
0.000 0.000 0.500 As
0.000 0.500 0.000 As
0.500 0.000 0.000 As
```

Density of states at the Fermi level ... 0.767 states/eV/atom
Raw formation energy ... 0.326 eV/atom

3.
## ScSb2As (SCAN)

Data for a PBEsol-optimized structure of ScSb2As.

POSCAR file:
```
ScSb2As
1.0
-1.845 2.345 5.154
1.845 -2.345 5.154
1.845 2.345 -5.154
Sc Sb As
1 2 1
Direct
0.000 0.000 0.000 Sc
0.468 0.468 0.000 Sb
0.725 0.225 0.500 Sb
0.212 0.712 0.500 As
```

Density of states at the Fermi level ... 0.567 states/eV/atom
Raw formation energy ... -0.297 eV/atom

4.
## ScSbAs2 (SCAN)

Data for a PBEsol-optimized structure of ScSbAs2.

POSCAR file:
```
ScSbAs2
1.0
-2.058 2.058 4.809
2.058 -2.058 4.809
2.058 2.058 -4.809
Sc Sb As
1 1 2
Direct
0.000 0.000 0.000 Sc
0.500 0.500 0.000 Sb
0.250 0.750 0.500 As
0.750 0.250 0.500 As
```

Density of states at the Fermi level ... 0.463 states/eV/atom
Raw formation energy ... -0.291 eV/atom

5.
## ScSbAs2 (SCAN)

Data for a PBEsol-optimized structure of ScSbAs2.

POSCAR file:
```
ScSbAs2
1.0
2.912 -3.970 0.000
2.912 3.970 0.000
-2.051 0.000 3.881
Sc Sb As
1 1 2
Direct
0.000 0.000 0.000 Sc
0.500 0.500 0.000 Sb
0.000 0.500 0.500 As
0.500 0.000 0.500 As
```

Density of states at the Fermi level ... 0.337 states/eV/atom
Raw formation energy ... -0.420 eV/atom

6.
## ScSbAs2 (SCAN)

Data for a PBEsol-optimized structure of ScSbAs2.

POSCAR file:
```
ScSbAs2
1.0
3.020 -3.693 0.000
3.020 3.693 0.000
0.000 0.000 3.630
Sc Sb As
1 1 2
Direct
0.000 0.000 0.000 Sc
0.500 0.500 0.000 Sb
0.000 0.500 0.500 As
0.500 0.000 0.500 As
```

Density of states at the Fermi level ... 0.405 states/eV/atom
Raw formation energy ... -0.390 eV/atom

7.
## SbAsSe (SCAN)

Data for a PBEsol-optimized structure of SbAsSe.

POSCAR file:
```
SbAsSe
1.0
0.000 2.716 6.800
1.764 0.000 6.800
1.764 2.716 0.000
Sb As Se
1 1 1
Direct
0.000 0.000 0.000 Sb
0.323 0.323 0.677 As
0.680 0.680 0.320 Se
```

Density of states at the Fermi level ... 0.527 states/eV/atom
Raw formation energy ... 0.403 eV/atom
Energy above the most stable polymorph in this dataset ... 40 kJ/mol of formula units

8.
## SbAsSe (SCAN)

Data for a PBEsol-optimized structure of SbAsSe.

POSCAR file:
```
SbAsSe
1.0
-1.939 1.939 4.737
1.939 -1.939 4.737
1.939 1.939 -4.737
Sb As Se
1 1 1
Direct
0.000 0.000 0.000 Sb
0.608 0.608 0.000 As
0.346 0.346 0.000 Se
```

Density of states at the Fermi level ... 0.362 states/eV/atom
Raw formation energy ... 0.267 eV/atom
Energy above the most stable polymorph in this dataset ... 0 kJ/mol of formula units

Repeat the first record exactly.
## ScSbAs2 (SCAN)

Data for a PBEsol-optimized structure of ScSbAs2.

POSCAR file:
```
ScSbAs2
1.0
4.835 -1.714 0.000
4.835 1.714 0.000
-0.357 0.000 5.201
Sc Sb As
1 1 2
Direct
0.000 0.000 0.000 Sc
0.500 0.500 0.500 Sb
0.273 0.273 0.825 As
0.727 0.727 0.175 As
```

Density of states at the Fermi level ... 0.623 states/eV/atom
Raw formation energy ... -0.352 eV/atom

Among the records above, which one has the highest density of states at the Fermi level? ScSbAs3